LaPrSi3: optimized geometry, GGA-PBE.

The structure belongs to space group I4mm (No. 107); the cell edges are 4.230, 4.230 and 13.778 Å and the angles 90.00°, 90.00° and 90.00°. The inequivalent atoms are La at (0.000, 0.000, 0.000), Pr at (0.000, 0.000, 0.690), Si at (0.000, 0.000, 0.459) and Si at (0.000, 0.500, 0.343).

As for the total magnetization: 0.24 μB per cell. For the total energy, the calculation gives -5.52 eV per atom.

Tm: optimized geometry, GGA-PBE.

The structure belongs to space group Fd-3m (No. 227, origin choice 2); the cell edges are 7.279, 7.279 and 7.279 Å and the angles 90.00°, 90.00° and 90.00°. The inequivalent atoms are Tm at (0.125, 0.125, 0.125).

The energy of formation from the pure elements comes out at 2.001 eV per atom. As for the total magnetization: 0.15 μB per cell. For the relative energy among the computed polymorphs, the calculation gives 2.001 eV per formula unit.

AcNbW: optimized geometry, GGA-PBE.

The structure belongs to space group R-3m (No. 166, hexagonal axes); the cell edges are 4.6337, 4.6337 and 26.3472 Å and the angles 90.00°, 90.00° and 120.00°. The inequivalent atoms are Ac at (0.0000, 0.0000, 0.2196), Nb at (0.0000, 0.0000, 0.3524) and W at (0.0000, 0.0000, 0.0459).

The energy of formation from the pure elements comes out at 0.428 eV per atom. As for the total magnetization: 0.03 μB per cell. For the relative energy among the computed polymorphs, the calculation gives 0.000 eV per formula unit.

MgRe: optimized geometry, GGA-PBE.

The structure belongs to space group Pmmn (No. 59, origin choice 2); the cell edges are 4.498, 13.317 and 4.505 Å and the angles 90.00°, 90.00° and 90.00°. The inequivalent atoms are Mg at (0.250, 0.123, 0.248), Mg at (0.250, 0.250, 0.748), Mg at (0.250, 0.750, 0.748), Re at (0.250, 0.000, 0.749) and Re at (0.250, 0.595, 0.249).

As for the total magnetization: 0.00 μB per cell. For the relative energy among the computed polymorphs, the calculation gives 0.256 eV per formula unit.

LaPr2NdSe3O4: optimized geometry, GGA-PBE.

The structure belongs to space group Amm2 (No. 38); the cell edges are 8.477, 4.046 and 13.069 Å and the angles 90.00°, 90.00° and 90.00°. The inequivalent atoms are La at (0.000, 0.000, 0.000), Pr at (0.238, 0.000, 0.685), Nd at (0.500, 0.000, 0.018), Se at (0.000, 0.000, 0.311), Se at (0.351, 0.000, 0.358), O at (0.000, 0.000, 0.588), O at (0.246, 0.000, 0.089) and O at (0.500, 0.000, 0.615).

As for the total magnetization: 0.01 μB per cell. For the relative energy among the computed polymorphs, the calculation gives 0.000 eV per formula unit.

NaNb3O8: optimized geometry, GGA-PBE.

The structure belongs to space group Ibam (No. 72); the cell edges are 7.348, 10.352 and 7.098 Å and the angles 90.00°, 90.00° and 90.00°. The inequivalent atoms are Na at (0.000, 0.000, 0.250), Nb at (0.000, 0.500, 0.250), Nb at (0.248, 0.236, 0.000), O at (0.015, 0.165, 0.000), O at (0.107, 0.424, 0.500) and O at (0.200, 0.361, 0.202).

As for the total magnetization: 0.00 μB per cell. For the relative energy among the computed polymorphs, the calculation gives 0.230 eV per formula unit.

Cu2Ag: optimized geometry, GGA-PBE.

The structure belongs to space group Cmcm (No. 63); the cell edges are 3.772, 11.544 and 3.839 Å and the angles 90.00°, 90.00° and 90.00°. The inequivalent atoms are Cu at (0.000, 0.092, 0.250), Cu at (0.000, 0.251, 0.750) and Ag at (0.000, 0.412, 0.250).

The energy of formation from the pure elements comes out at 0.090 eV per atom. For the relative energy among the computed polymorphs, the calculation gives 0.133 eV per formula unit.

LiDyPbSe3: optimized geometry, GGA-PBE.

The structure belongs to space group Cmcm (No. 63); the cell edges are 4.144, 13.491 and 10.729 Å and the angles 90.00°, 90.00° and 90.00°. The inequivalent atoms are Li at (0.000, 0.026, 0.250), Dy at (0.000, 0.500, 0.000), Pb at (0.000, 0.253, 0.750), Se at (0.000, 0.138, 0.065) and Se at (0.000, 0.419, 0.250).

As for the total magnetization: 0.02 μB per cell. For the relative energy among the computed polymorphs, the calculation gives 0.200 eV per formula unit.

ReAg2S3: optimized geometry, GGA-PBE.

The structure belongs to space group Cc (No. 9); the cell edges are 6.800, 11.789 and 6.941 Å and the angles 90.00°, 109.18° and 90.00°. The inequivalent atoms are Re at (0.000, 0.081, 0.000), Ag at (0.019, 0.431, 0.040), Ag at (0.027, 0.212, 0.547), S at (0.119, 0.058, 0.341), S at (0.129, 0.241, 0.922) and S at (0.152, 0.396, 0.415).

As for the total magnetization: 0.20 μB per cell. For the total energy, the calculation gives -5.07 eV per atom.

GaPtW2: optimized geometry, GGA-PBE.

The structure belongs to space group F-43m (No. 216); the cell edges are 6.322, 6.322 and 6.322 Å and the angles 90.00°, 90.00° and 90.00°. The inequivalent atoms are Ga at (0.000, 0.000, 0.000), Pt at (0.250, 0.250, 0.250), W at (0.000, 0.000, 0.500) and W at (0.250, 0.250, 0.750).

As for the total magnetization: 0.01 μB per cell. For the total energy, the calculation gives -8.58 eV per atom.

HoEr2Mg3Tl2Cd: optimized geometry, GGA-PBE.

The structure belongs to space group Amm2 (No. 38); the cell edges are 4.598, 13.022 and 7.514 Å and the angles 90.00°, 90.00° and 90.00°. The inequivalent atoms are Ho at (0.000, 0.000, 0.000), Er at (0.000, 0.212, 0.637), Mg at (0.500, 0.000, 0.664), Mg at (0.500, 0.120, 0.305), Tl at (0.500, 0.167, 0.924) and Cd at (0.000, 0.000, 0.425).

As for the total magnetization: 0.00 μB per cell. For the total energy, the calculation gives -2.97 eV per atom.

AcErB: optimized geometry, GGA-PBE.

The structure belongs to space group F-43m (No. 216); the cell edges are 6.730, 6.730 and 6.730 Å and the angles 90.00°, 90.00° and 90.00°. The inequivalent atoms are Ac at (0.000, 0.000, 0.000), Er at (0.000, 0.000, 0.500) and B at (0.250, 0.250, 0.250).

As for the total magnetization: 1.07 μB per cell. For the relative energy among the computed polymorphs, the calculation gives 0.000 eV per formula unit.